## ZrCoSb2O (PBE with a Hubbard U)

Data for a relaxed ZrCoSb2O crystal.

a = 5.0054 Å, b = 5.0054 Å, c = 4.1110 Å
α = 90.00°, β = 90.00°, γ = 90.00°
Last column: nearest neighbours and their distance in Å.
Element x y z (fractional)
Zr: 0.0000 0.0000 0.0000  2 O 2.06
Co: 0.5000 0.5000 0.0000  8 Sb 3.24, 4 Zr 3.54
Sb: 0.0000 0.5000 0.5000  2 O 2.50
Sb: 0.5000 0.0000 0.5000  2 O 2.50
O: 0.0000 0.0000 0.5000  2 Zr 2.06

Values from the calculation:
- VASP energy (eV for the cell shown) = -27.7
- V (Å³/f.u.) = 103.0
- symmetry = No. 123